[1]
{
  "formula": "Ac2PrIr",
  "functional": "PBE",
  "state": "optimized geometry",
  "lattice_angstrom": [[2.071, 1.195, 11.077], [-2.071, 1.195, 11.077], [0.000, -2.391, 11.077]],
  "species": ["Ac", "Ac", "Pr", "Ir"],
  "frac_coords": [[0.115, 0.115, 0.115], [0.885, 0.885, 0.885], [0.000, 0.000, 0.000], [0.500, 0.500, 0.500]],
  "dos_at_fermi_per_ev_atom": 1.4569,
  "delta_e_f_ev_per_atom": -0.128,
  "total_magnetization_mub_per_atom": 0.180
}



[2]
{
  "formula": "Ac3Pr4Ir4",
  "functional": "PBE",
  "state": "optimized geometry",
  "lattice_angstrom": [[-2.239, 4.304, 8.147], [2.239, -4.304, 8.147], [2.239, 4.304, -8.147]],
  "species": ["Ac", "Ac", "Ac", "Pr", "Pr", "Pr", "Pr", "Ir", "Ir", "Ir", "Ir"],
  "frac_coords": [[0.000, 0.000, 0.000], [0.398, 0.898, 0.500], [0.602, 0.102, 0.500], [0.032, 0.330, 0.702], [0.372, 0.670, 0.702], [0.628, 0.330, 0.298], [0.968, 0.670, 0.298], [0.218, 0.218, 0.000], [0.305, 0.500, 0.805], [0.695, 0.500, 0.195], [0.782, 0.782, 0.000]],
  "dos_at_fermi_per_ev_atom": 0.7579,
  "delta_e_f_ev_per_atom": -0.469,
  "total_magnetization_mub_per_atom": 0.000
}



[3]
{
  "formula": "AcPr3Ir2",
  "functional": "PBE",
  "state": "optimized geometry",
  "lattice_angstrom": [[8.633, -2.213, 0.000], [8.633, 2.213, 0.000], [-5.590, 0.000, 10.264]],
  "species": ["Ac", "Ac", "Pr", "Pr", "Pr", "Pr", "Pr", "Pr", "Ir", "Ir", "Ir", "Ir"],
  "frac_coords": [[0.055, 0.055, 0.222], [0.945, 0.945, 0.778], [0.215, 0.215, 0.594], [0.327, 0.327, 0.971], [0.422, 0.422, 0.333], [0.578, 0.578, 0.667], [0.673, 0.673, 0.029], [0.785, 0.785, 0.406], [0.136, 0.136, 0.848], [0.381, 0.381, 0.574], [0.619, 0.619, 0.426], [0.864, 0.864, 0.152]],
  "dos_at_fermi_per_ev_atom": 0.8319,
  "delta_e_f_ev_per_atom": -0.524,
  "total_magnetization_mub_per_atom": 0.000
}



[4]
{
  "formula": "AcPr3Ir",
  "functional": "PBE",
  "state": "optimized geometry",
  "lattice_angstrom": [[5.143, -5.113, 0.000], [5.143, 5.113, 0.000], [-2.698, 0.000, 6.476]],
  "species": ["Ac", "Ac", "Pr", "Pr", "Pr", "Pr", "Pr", "Pr", "Ir", "Ir"],
  "frac_coords": [[0.071, 0.071, 0.276], [0.929, 0.929, 0.724], [0.065, 0.563, 0.263], [0.437, 0.935, 0.737], [0.438, 0.438, 0.738], [0.562, 0.562, 0.262], [0.563, 0.065, 0.263], [0.935, 0.437, 0.737], [0.251, 0.251, 0.993], [0.749, 0.749, 0.007]],
  "dos_at_fermi_per_ev_atom": 1.2062,
  "delta_e_f_ev_per_atom": -0.206,
  "total_magnetization_mub_per_atom": 0.000
}



[5]
{
  "formula": "AcPr2Ir2",
  "functional": "PBE",
  "state": "optimized geometry",
  "lattice_angstrom": [[2.041, -6.808, 0.000], [2.041, 6.808, 0.000], [0.000, 0.000, 10.480]],
  "species": ["Ac", "Ac", "Pr", "Pr", "Pr", "Pr", "Ir", "Ir", "Ir", "Ir"],
  "frac_coords": [[0.098, 0.902, 0.750], [0.902, 0.098, 0.250], [0.357, 0.643, 0.570], [0.357, 0.643, 0.930], [0.643, 0.357, 0.070], [0.643, 0.357, 0.430], [0.000, 0.000, 0.000], [0.000, 0.000, 0.500], [0.241, 0.759, 0.250], [0.759, 0.241, 0.750]],
  "dos_at_fermi_per_ev_atom": 0.5806,
  "delta_e_f_ev_per_atom": -0.531,
  "total_magnetization_mub_per_atom": 0.000
}



[6]
{
  "formula": "Ac2Pr2Ir",
  "functional": "PBE",
  "state": "optimized geometry",
  "lattice_angstrom": [[-2.584, 2.584, 13.331], [2.584, -2.584, 13.331], [2.584, 2.584, -13.331]],
  "species": ["Ac", "Ac", "Ac", "Ac", "Pr", "Pr", "Pr", "Pr", "Ir", "Ir"],
  "frac_coords": [[0.057, 0.307, 0.750], [0.307, 0.057, 0.250], [0.693, 0.943, 0.750], [0.943, 0.693, 0.250], [0.188, 0.438, 0.750], [0.438, 0.188, 0.250], [0.562, 0.812, 0.750], [0.812, 0.562, 0.250], [0.375, 0.625, 0.750], [0.625, 0.375, 0.250]],
  "dos_at_fermi_per_ev_atom": 1.0777,
  "delta_e_f_ev_per_atom": -0.189,
  "total_magnetization_mub_per_atom": 0.000
}



[7]
{
  "formula": "Ac3PrIr8",
  "functional": "PBE",
  "state": "optimized geometry",
  "lattice_angstrom": [[2.773, 1.601, 9.044], [-2.773, 1.601, 9.044], [0.000, -3.201, 9.044]],
  "species": ["Ac", "Ac", "Ac", "Pr", "Ir", "Ir", "Ir", "Ir", "Ir", "Ir", "Ir", "Ir"],
  "frac_coords": [[0.000, 0.000, 0.000], [0.126, 0.126, 0.126], [0.502, 0.502, 0.502], [0.626, 0.626, 0.626], [0.061, 0.563, 0.563], [0.064, 0.064, 0.564], [0.064, 0.564, 0.064], [0.313, 0.313, 0.313], [0.563, 0.061, 0.563], [0.563, 0.563, 0.061], [0.564, 0.064, 0.064], [0.813, 0.813, 0.813]],
  "dos_at_fermi_per_ev_atom": 0.7442,
  "delta_e_f_ev_per_atom": -0.582,
  "total_magnetization_mub_per_atom": 0.000
}



[8]
{
  "formula": "AcPr3Ir2",
  "functional": "PBE",
  "state": "optimized geometry",
  "lattice_angstrom": [[8.343, -2.571, 0.000], [8.343, 2.571, 0.000], [-3.699, 0.000, 8.026]],
  "species": ["Ac", "Ac", "Pr", "Pr", "Pr", "Pr", "Pr", "Pr", "Ir", "Ir", "Ir", "Ir"],
  "frac_coords": [[0.131, 0.131, 0.219], [0.869, 0.869, 0.781], [0.067, 0.067, 0.728], [0.314, 0.314, 0.009], [0.369, 0.369, 0.492], [0.631, 0.631, 0.508], [0.686, 0.686, 0.991], [0.933, 0.933, 0.272], [0.223, 0.223, 0.640], [0.500, 0.500, 0.150], [0.500, 0.500, 0.850], [0.777, 0.777, 0.360]],
  "dos_at_fermi_per_ev_atom": 0.8519,
  "delta_e_f_ev_per_atom": -0.350,
  "total_magnetization_mub_per_atom": 0.000
}



[9]
{
  "formula": "AcPr3Ir",
  "functional": "PBE",
  "state": "optimized geometry",
  "lattice_angstrom": [[8.297, 0.000, 0.000], [0.000, 7.881, 0.000], [-3.123, 0.000, 10.214]],
  "species": ["Ac", "Ac", "Ac", "Ac", "Pr", "Pr", "Pr", "Pr", "Pr", "Pr", "Pr", "Pr", "Pr", "Pr", "Pr", "Pr", "Ir", "Ir", "Ir", "Ir"],
  "frac_coords": [[0.186, 0.055, 0.252], [0.186, 0.445, 0.752], [0.814, 0.555, 0.248], [0.814, 0.945, 0.748], [0.085, 0.700, 0.032], [0.085, 0.800, 0.532], [0.294, 0.511, 0.383], [0.294, 0.989, 0.883], [0.413, 0.126, 0.609], [0.413, 0.374, 0.109], [0.587, 0.626, 0.891], [0.587, 0.874, 0.391], [0.706, 0.011, 0.117], [0.706, 0.489, 0.617], [0.915, 0.200, 0.468], [0.915, 0.300, 0.968], [0.453, 0.747, 0.605], [0.453, 0.753, 0.105], [0.547, 0.247, 0.895], [0.547, 0.253, 0.395]],
  "dos_at_fermi_per_ev_atom": 1.1032,
  "delta_e_f_ev_per_atom": -0.247,
  "total_magnetization_mub_per_atom": 0.000
}



[10]
{
  "formula": "Ac2PrIr",
  "functional": "PBE",
  "state": "optimized geometry",
  "lattice_angstrom": [[2.119, 1.223, 9.791], [-2.119, 1.223, 9.791], [0.000, -2.446, 9.791]],
  "species": ["Ac", "Ac", "Pr", "Ir"],
  "frac_coords": [[0.000, 0.000, 0.000], [0.220, 0.220, 0.220], [0.444, 0.444, 0.444], [0.609, 0.609, 0.609]],
  "dos_at_fermi_per_ev_atom": 1.2072,
  "delta_e_f_ev_per_atom": -0.295,
  "total_magnetization_mub_per_atom": 0.132
}



[11]
{
  "formula": "Ac5PrIr4",
  "functional": "PBE",
  "state": "optimized geometry",
  "lattice_angstrom": [[9.314, -2.183, 0.000], [9.314, 2.183, 0.000], [-2.202, 0.000, 8.167]],
  "species": ["Ac", "Ac", "Ac", "Ac", "Ac", "Pr", "Ir", "Ir", "Ir", "Ir"],
  "frac_coords": [[0.000, 0.000, 0.000], [0.335, 0.335, 0.643], [0.339, 0.339, 0.172], [0.661, 0.661, 0.828], [0.665, 0.665, 0.357], [0.000, 0.000, 0.500], [0.171, 0.171, 0.607], [0.499, 0.499, 0.755], [0.501, 0.501, 0.245], [0.829, 0.829, 0.393]],
  "dos_at_fermi_per_ev_atom": 0.5779,
  "delta_e_f_ev_per_atom": -0.560,
  "total_magnetization_mub_per_atom": 0.000
}



[12]
{
  "formula": "Ac3PrIr",
  "functional": "PBE",
  "state": "optimized geometry",
  "lattice_angstrom": [[6.345, -4.779, 0.000], [6.345, 4.779, 0.000], [-6.276, 0.000, 6.375]],
  "species": ["Ac", "Ac", "Ac", "Ac", "Ac", "Ac", "Pr", "Pr", "Ir", "Ir"],
  "frac_coords": [[0.048, 0.048, 0.340], [0.051, 0.456, 0.214], [0.456, 0.051, 0.214], [0.544, 0.949, 0.786], [0.949, 0.544, 0.786], [0.952, 0.952, 0.660], [0.454, 0.454, 0.755], [0.546, 0.546, 0.245], [0.253, 0.253, 0.851], [0.747, 0.747, 0.149]],
  "dos_at_fermi_per_ev_atom": 1.2179,
  "delta_e_f_ev_per_atom": -0.315,
  "total_magnetization_mub_per_atom": 0.000
}



Copy entry 10 word for word.
{
  "formula": "Ac2PrIr",
  "functional": "PBE",
  "state": "optimized geometry",
  "lattice_angstrom": [[2.119, 1.223, 9.791], [-2.119, 1.223, 9.791], [0.000, -2.446, 9.791]],
  "species": ["Ac", "Ac", "Pr", "Ir"],
  "frac_coords": [[0.000, 0.000, 0.000], [0.220, 0.220, 0.220], [0.444, 0.444, 0.444], [0.609, 0.609, 0.609]],
  "dos_at_fermi_per_ev_atom": 1.2072,
  "delta_e_f_ev_per_atom": -0.295,
  "total_magnetization_mub_per_atom": 0.132
}